DFT (GGA-PBE) results for GdHoMn after structural relaxation.

POSCAR file:
```
GdHoMn
1.0
-1.7379 1.7379 6.3809
1.7379 -1.7379 6.3809
1.7379 1.7379 -6.3809
Gd Ho Mn
1 1 1
Direct
0.0000 0.0000 0.0000 Gd
0.2707 0.2707 0.0000 Ho
0.6368 0.6368 0.0000 Mn
```

Properties
E in eV per atom: -9.140
Energy relative to the elements in eV/atom: 0.136
Density of states at the Fermi level in states/eV per cell: 4.82
SG: I4mm (107)

***

DFT (GGA-PBE) results for MnBeAg2 after structural relaxation.

POSCAR file:
```
MnBeAg2
1.0
4.2687 0.0000 0.0000
0.0000 4.2687 0.0000
0.0000 0.0000 3.2941
Mn Be Ag
1 1 2
Direct
0.0000 0.0000 0.0000 Mn
0.5000 0.5000 0.0000 Be
0.0000 0.5000 0.5000 Ag
0.5000 0.0000 0.5000 Ag
```

Properties
E in eV per atom: -4.302
Energy relative to the elements in eV/atom: 0.347
Density of states at the Fermi level in states/eV per cell: 2.09
SG: P4/mmm (123)

***

DFT (GGA-PBE) results for RbCd3Pt after structural relaxation.

POSCAR file:
```
RbCd3Pt
1.0
-2.9873 2.9873 9.0654
2.9873 -2.9873 9.0654
2.9873 2.9873 -9.0654
Rb Cd Pt
2 6 2
Direct
0.1764 0.1764 0.0000 Rb
0.8236 0.8236 0.0000 Rb
0.0201 0.5201 0.5000 Cd
0.1323 0.3728 0.7595 Cd
0.4799 0.9799 0.5000 Cd
0.6133 0.3728 0.2405 Cd
0.6272 0.3867 0.7595 Cd
0.6272 0.8677 0.2405 Cd
0.5000 0.5000 0.0000 Pt
0.7500 0.2500 0.5000 Pt
```

Properties
E in eV per atom: -2.030
Energy relative to the elements in eV/atom: -0.079
Density of states at the Fermi level in states/eV per cell: 1.94
SG: I-4m2 (119)
Relative energy among the computed polymorphs in kJ per mole of atoms: 16.54

***

Number 1 is which compound? GdHoMn